BaSr2LaGa: optimized geometry, PBE.

a b c (Å): 6.318 6.318 6.007
angles (deg): 90.00 90.00 90.00
Space group P4/mmm (No. 123)
Asymmetric unit:
1 Ba 0.000 0.000 0.000 [1 per cell]
2 Sr 0.000 0.500 0.500 [2 per cell]
3 La 0.500 0.500 0.000 [1 per cell]
4 Ga 0.500 0.500 0.500 [1 per cell]

Computed properties:
E   -2.679 eV per atom

---

Ba2LaTaGa: optimized geometry, PBE.

a b c (Å): 6.156 6.156 5.573
angles (deg): 90.00 90.00 90.00
Space group P4/mmm (No. 123)
Asymmetric unit:
1 Ba 0.000 0.500 0.000 [2 per cell]
2 La 0.000 0.000 0.500 [1 per cell]
3 Ta 0.000 0.000 0.000 [1 per cell]
4 Ga 0.500 0.500 0.500 [1 per cell]

Computed properties:
E   -3.962 eV per atom

---

| no. | mass density (Mg/m³) | formation energy from the elements (eV/atom) |
| --- | --- | --- |
| 1 | 3.61 | -0.03 |
| 2 | 5.22 | 0.77 |